Material: Cs8Rb5Ag
Method: DFT, PBE
State: optimized geometry

## Properties
Total DFT energy (no corrections), eV per atom: -1.004
ΔH_f (0 K), meV per atom: 33
Total moment, μB per cell: 0.00
SG: I-4, No. 82

a b c (Å): 12.0713 12.0713 12.0713
angles (deg): 106.95 106.95 114.64
With the nearest neighbours (Å) after each atom.
Atoms (fractional coordinates):
1 Cs 0.1428 0.2519 0.8021  1 Ag 4.49, 2 Cs 4.59-4.76, 1 Rb 4.90
2 Cs 0.1754 0.8211 0.9003  1 Ag 3.79
3 Cs 0.1789 0.0792 0.3543  1 Ag 3.79
4 Cs 0.4499 0.3408 0.1979  1 Ag 4.49, 2 Cs 4.59-4.76, 1 Rb 4.90
5 Cs 0.6592 0.8572 0.1091  1 Ag 4.49, 2 Cs 4.59-4.76, 1 Rb 4.90
6 Cs 0.7250 0.8246 0.6457  1 Ag 3.79
7 Cs 0.7481 0.5501 0.8909  1 Ag 4.49, 2 Cs 4.59-4.76, 1 Rb 4.90
8 Cs 0.9208 0.2750 0.0997  1 Ag 3.79
9 Rb 0.2694 0.5407 0.5905  5 Cs 4.82-5.12, 4 Rb 5.00-5.31
10 Rb 0.3211 0.7306 0.2712  5 Cs 4.82-5.12, 4 Rb 5.00-5.31
11 Rb 0.4593 0.0498 0.7288  5 Cs 4.82-5.12, 4 Rb 5.00-5.31
12 Rb 0.7500 0.2500 0.5000  4 Cs 5.06, 4 Rb 5.31
13 Rb 0.9502 0.6789 0.4095  5 Cs 4.82-5.12, 4 Rb 5.00-5.31
14 Ag 0.0000 0.0000 0.0000  4 Cs 3.79

=====

Material: Cs2RbAg2
Method: DFT, PBE
State: optimized geometry

## Properties
Total DFT energy (no corrections), eV per atom: -1.619
ΔH_f (0 K), meV per atom: 56
Total moment, μB per cell: 0.00
Distance to the lowest polymorph of the same formula, meV per atom: 17
SG: P4/mbm, No. 127

a b c (Å): 10.3778 10.3778 4.9059
angles (deg): 90.00 90.00 90.00
With the nearest neighbours (Å) after each atom.
Atoms (fractional coordinates):
1 Cs 0.1429 0.3571 0.0000  6 Ag 3.84-3.95, 1 Cs 4.19
2 Cs 0.3571 0.8571 0.0000  6 Ag 3.84-3.95, 1 Cs 4.19
3 Cs 0.6429 0.1429 0.0000  6 Ag 3.84-3.95, 1 Cs 4.19
4 Cs 0.8571 0.6429 0.0000  6 Ag 3.84-3.95, 1 Cs 4.19
5 Rb 0.0000 0.0000 0.5000  4 Ag 3.92
6 Rb 0.5000 0.5000 0.5000  4 Ag 3.92
7 Ag 0.1557 0.6557 0.5000  6 Cs 3.84-3.95, 2 Rb 3.92
8 Ag 0.3443 0.1557 0.5000  6 Cs 3.84-3.95, 2 Rb 3.92
9 Ag 0.6557 0.8443 0.5000  6 Cs 3.84-3.95, 2 Rb 3.92
10 Ag 0.8443 0.3443 0.5000  6 Cs 3.84-3.95, 2 Rb 3.92

=====

Question: Which value of ΔH_f (0 K) does entry 2 give?
Answer: 56 meV per atom